Density functional theory data (GGA-PBE) for crystalline Pr3Nd4Ir4 at its relaxed geometry.

Output
crystal system = orthorhombic
energy relative to the elements = -0.465 eV per atom

a = 9.187 Å, b = 9.187 Å, c = 9.187 Å
α = 151.14°, β = 127.89°, γ = 60.67°
Sites, in units of the cell vectors:
Pr  0.000  0.000  0.000
Pr  0.400  0.900  0.500
Pr  0.600  0.100  0.500
Nd  0.042  0.332  0.711
Nd  0.379  0.668  0.711
Nd  0.621  0.332  0.289
Nd  0.958  0.668  0.289
Ir  0.209  0.209  0.000
Ir  0.321  0.500  0.821
Ir  0.679  0.500  0.179
Ir  0.791  0.791  0.000


Density functional theory data (GGA-PBE) for crystalline TaIBr3 at its relaxed geometry.

Output
crystal system = cubic
E above lowest polymorph = 2124 meV per atom

a = 5.812 Å, b = 5.812 Å, c = 5.812 Å
α = 90.00°, β = 90.00°, γ = 90.00°
Sites, in units of the cell vectors:
Ta  0.000  0.000  0.000
I  0.500  0.500  0.500
Br  0.000  0.500  0.500
Br  0.500  0.000  0.500
Br  0.500  0.500  0.000


Density functional theory data (GGA-PBE) for crystalline NdAl4Zn2Ir at its relaxed geometry.

Output
crystal system = trigonal
energy relative to the elements = -0.405 eV per atom

a = 9.597 Å, b = 9.597 Å, c = 9.597 Å
α = 25.95°, β = 25.95°, γ = 25.95°
Sites, in units of the cell vectors:
Nd  0.000  0.000  0.000
Al  0.137  0.137  0.137
Al  0.410  0.410  0.410
Al  0.590  0.590  0.590
Al  0.863  0.863  0.863
Zn  0.265  0.265  0.265
Zn  0.735  0.735  0.735
Ir  0.500  0.500  0.500


Density functional theory data (GGA-PBE) for crystalline PaAlN2 at its relaxed geometry.

Output
crystal system = trigonal
total DFT energy (no corrections) = -8.561 eV per atom

a = 3.659 Å, b = 3.659 Å, c = 16.909 Å
α = 90.00°, β = 90.00°, γ = 120.00°
Sites, in units of the cell vectors:
Pa  0.000  0.000  0.000
Pa  0.333  0.667  0.667
Pa  0.667  0.333  0.333
Al  0.000  0.000  0.500
Al  0.333  0.667  0.167
Al  0.667  0.333  0.833
N  0.000  0.000  0.389
N  0.000  0.000  0.611
N  0.333  0.667  0.056
N  0.333  0.667  0.278
N  0.667  0.333  0.722
N  0.667  0.333  0.944


Density functional theory data (GGA-PBE) for crystalline BaSr2SnF at its relaxed geometry.

Output
crystal system = tetragonal
total DFT energy (no corrections) = -3.558 eV per atom

a = 5.339 Å, b = 5.339 Å, c = 5.532 Å
α = 90.00°, β = 90.00°, γ = 90.00°
Sites, in units of the cell vectors:
Ba  0.000  0.000  0.000
Sr  0.000  0.500  0.500
Sr  0.500  0.000  0.500
Sn  0.500  0.500  0.000
F  0.000  0.000  0.500


Density functional theory data (GGA-PBE) for crystalline NbNiH2 at its relaxed geometry.

Output
crystal system = monoclinic
E above lowest polymorph = 51 meV per atom

a = 5.033 Å, b = 2.878 Å, c = 4.907 Å
α = 90.00°, β = 109.67°, γ = 90.00°
Sites, in units of the cell vectors:
Nb  0.000  0.000  0.000
Nb  0.500  0.500  0.000
Ni  0.000  0.500  0.500
Ni  0.500  0.000  0.500
H  0.239  0.000  0.717
H  0.261  0.500  0.283
H  0.739  0.500  0.717
H  0.761  0.000  0.283


| no. | size of the total moment (μB per formula unit) |
| --- | --- |
| 1 | 0.00 |
| 2 | 4.00 |
| 3 | 0.00 |
| 4 | 0.00 |
| 5 | 0.00 |
| 6 | 0.00 |